Run w
Ho3HgTe2, relaxed, DFT PBE; spin magnetization = 0.000 μB/f.u.; density = 9.2 g cm⁻³; Fermi-level density of states = 16.5 states/eV/cell; space-group type = No. 70
1.0
7.420 0.091 -1.389
-2.786 6.877 -1.389
-0.089 -0.134 13.505
Te Ho Hg
8 12 4
direct
0.748 0.748 0.495 Te
0.581 0.581 0.162 Te
0.419 0.419 0.838 Te
0.669 0.169 0.338 Te
0.252 0.252 0.505 Te
0.831 0.331 0.662 Te
0.502 0.002 0.005 Te
0.998 0.498 0.995 Te
0.490 0.990 0.500 Ho
0.010 0.510 0.500 Ho
0.166 0.675 0.830 Ho
0.084 0.075 0.670 Ho
0.240 0.240 0.000 Ho
0.845 0.336 0.170 Ho
0.586 0.595 0.670 Ho
0.325 0.834 0.170 Ho
0.664 0.155 0.830 Ho
0.925 0.916 0.330 Ho
0.760 0.760 0.000 Ho
0.405 0.414 0.330 Ho
0.083 0.083 0.167 Hg
0.333 0.833 0.667 Hg
0.917 0.917 0.833 Hg
0.167 0.667 0.333 Hg

=====

Run x
Ho3HgTe2, relaxed, DFT PBE; spin magnetization = 0.000 μB/f.u.; density = 9.2 g cm⁻³; Fermi-level density of states = 2.7 states/eV/cell; space-group type = No. 71
1.0
4.164 0.000 0.000
0.000 6.145 0.000
-2.082 -3.072 6.730
Ho Te Hg
3 2 1
direct
0.840 0.340 0.180 Ho
0.160 0.660 0.820 Ho
0.500 0.000 0.500 Ho
0.170 0.170 0.840 Te
0.830 0.830 0.160 Te
0.500 0.500 0.500 Hg

=====

run x (13 meV per atom below the next structure)